VASP calculation (PBE) on an optimized crystal structure of YTi2HPb.

Total energy, eV per atom: -6.02
Spin magnetization, μB/cell: 0.0
Calculated volume, Å³/f.u.: 88

```
data_YTi2HPb
_chemical_formula_sum 'Y1 Ti2 H1 Pb1'
_symmetry_space_group_name_H-M 'P 4/m m m'
_symmetry_Int_Tables_number 123
_symmetry_space_group_name_Hall '-P 4 2'
_cell_length_a 4.389
_cell_length_b 4.389
_cell_length_c 4.559
_cell_angle_alpha 90.00
_cell_angle_beta 90.00
_cell_angle_gamma 90.00
loop_
_atom_site_label
_atom_site_fract_x
_atom_site_fract_y
_atom_site_fract_z
Y1 0.000 0.000 0.000
Ti1 0.000 0.500 0.500
H1 0.000 0.000 0.500
Pb1 0.500 0.500 0.000
```